(1)
Here is a relaxed structure of LiNiMoOs from the Alexandria database. Energies are from PBE.

## Properties
Crystal system: cubic
Density (Mg/m³): 10.95
ΔE_f (eV/atom): 0.11
E (eV per atom): -7.33
Magnetization (μB/f.u.): 0.02

```
4
Lattice="0.000 2.988 2.988 2.988 0.000 2.988 2.988 2.988 0.000" Properties=species:S:1:pos:R:3 pbc="T T T"
Li 0.000 0.000 0.000
Ni 4.482 4.482 4.482
Mo 2.988 2.988 2.988
Os 1.494 1.494 1.494
```

***

(2)
Here is a relaxed structure of LiNiMoRh from the Alexandria database. Energies are from PBE.

## Properties
Crystal system: cubic
Density (Mg/m³): 8.25
ΔE_f (eV/atom): 0.01
E (eV per atom): -6.46
Magnetization (μB/f.u.): 0.00

```
4
Lattice="0.000 2.986 2.986 2.986 0.000 2.986 2.986 2.986 0.000" Properties=species:S:1:pos:R:3 pbc="T T T"
Li 0.000 0.000 0.000
Ni 1.493 1.493 1.493
Mo 2.986 2.986 2.986
Rh 4.479 4.479 4.479
```

***

(3)
Here is a relaxed structure of LiNi2MoRu from the Alexandria database. Energies are from PBE.

## Properties
Crystal system: tetragonal
Density (Mg/m³): 5.58
ΔE_f (eV/atom): 1.12
E (eV per atom): -5.60
Magnetization (μB/f.u.): 0.00

```
5
Lattice="4.566 0.000 0.000 0.000 4.566 0.000 0.000 0.000 4.589" Properties=species:S:1:pos:R:3 pbc="T T T"
Li 0.000 0.000 0.000
Ni 0.000 2.283 2.294
Ni 2.283 0.000 2.294
Mo 2.283 2.283 2.294
Ru 2.283 2.283 0.000
```

***

(4)
Here is a relaxed structure of SrLiNiMo2 from the Alexandria database. Energies are from PBE.

## Properties
Crystal system: tetragonal
Density (Mg/m³): 4.66
ΔE_f (eV/atom): 2.57
E (eV per atom): -3.64
Magnetization (μB/f.u.): 4.36

```
5
Lattice="5.067 0.000 0.000 0.000 5.067 0.000 0.000 0.000 4.793" Properties=species:S:1:pos:R:3 pbc="T T T"
Sr 0.000 0.000 0.000
Li 2.534 2.534 2.396
Ni 0.000 0.000 2.396
Mo 0.000 2.534 0.000
Mo 2.534 0.000 0.000
```

***

Question: Look up the E of the second one.
Answer: -6.46 eV per atom

***

Question: What is the ΔE_f in the second record?
Answer: 0.01 eV/atom